--- A ---
First-principles (PBE) data for a relaxed GeSb3I crystal, as listed in Alexandria.

Calculated values
density	5.85	g/cm3

Cell: 5.4335 5.4335 5.4335 Å, 90.00 90.00 90.00°
Sites, in units of the cell vectors:
Ge (0.0000, 0.0000, 0.0000)
Sb (0.0000, 0.0000, 0.5000)
Sb (0.0000, 0.5000, 0.0000)
Sb (0.5000, 0.0000, 0.0000)
I (0.5000, 0.5000, 0.5000)

---

--- B ---
First-principles (PBE) data for a relaxed GeSb3I crystal, as listed in Alexandria.

Calculated values
density	5.60	g/cm3

Cell: 6.3093 8.4157 6.4358 Å, 90.00 101.50 90.00°
Sites, in units of the cell vectors:
Ge (0.0000, 0.0000, 0.0000)
Ge (0.0000, 0.5000, 0.0000)
Sb (0.1137, 0.2500, 0.3220)
Sb (0.1979, 0.2500, 0.7923)
Sb (0.3261, 0.7500, 0.1204)
Sb (0.6739, 0.2500, 0.8796)
Sb (0.8021, 0.7500, 0.2077)
Sb (0.8863, 0.7500, 0.6780)
I (0.3736, 0.7500, 0.6349)
I (0.6264, 0.2500, 0.3651)

---

--- C ---
First-principles (PBE) data for a relaxed GeSb3I crystal, as listed in Alexandria.

Calculated values
density	4.96	g/cm3

Cell: 5.7387 5.7387 5.7387 Å, 90.00 90.00 90.00°
Sites, in units of the cell vectors:
Ge (0.0000, 0.0000, 0.0000)
Sb (0.0000, 0.5000, 0.5000)
Sb (0.5000, 0.0000, 0.5000)
Sb (0.5000, 0.5000, 0.0000)
I (0.5000, 0.5000, 0.5000)

---

Top of the stability list: B, leading by 0.415 eV/atom.